VASP calculation (PBE) on an optimized crystal structure of RbMgGa2I8.

Summary:
The calculation puts the uncorrected formation energy at -66 kJ/mol of atoms. Its mass density is 4.09 g/cm³. Its magnetic moment is 0.00 Bohr magnetons per cell. The space group is R-3. The value obtained for the uncorrected energy is -2.44 eV/atom.

Cell: 7.407 7.407 11.623 Å, 71.42 71.42 60.00°
Element x y z (fractional)
Rb  0.500  0.500  0.500
Mg  0.000  0.000  0.000
Ga  0.257  0.257  0.230
Ga  0.743  0.743  0.770
I  0.175  0.175  0.474
I  0.635  0.278  0.162
I  0.825  0.825  0.526
I  0.925  0.635  0.162
I  0.075  0.365  0.838
I  0.278  0.925  0.162
I  0.722  0.075  0.838
I  0.365  0.722  0.838

***

VASP calculation (PBE) on an optimized crystal structure of MgGaRu2I.

Summary:
The calculation puts the uncorrected formation energy at 133 kJ/mol of atoms. Its mass density is 6.27 g/cm³. Its magnetic moment is 3.27 Bohr magnetons per cell. The space group is P4/mmm. The value obtained for the uncorrected energy is -3.57 eV/atom.

Cell: 4.827 4.827 4.808 Å, 90.00 90.00 90.00°
Element x y z (fractional)
I  0.500  0.500  0.500
Ru  0.000  0.500  0.000
Ru  0.500  0.000  0.000
Mg  0.000  0.000  0.000
Ga  0.000  0.000  0.500

***

VASP calculation (PBE) on an optimized crystal structure of MgGaSb2I.

Summary:
The calculation puts the uncorrected formation energy at 39 kJ/mol of atoms. Its mass density is 4.70 g/cm³. The calculation puts the polymorph energy (0 for the lowest one) at 84.1 meV/atom. Its magnetic moment is 0.00 Bohr magnetons per cell. The space group is P4/mmm. The value obtained for the uncorrected energy is -2.48 eV/atom.

Cell: 5.368 5.368 5.693 Å, 90.00 90.00 90.00°
Element x y z (fractional)
I  0.000  0.000  0.500
Sb  0.000  0.500  0.000
Sb  0.500  0.000  0.000
Mg  0.500  0.500  0.500
Ga  0.000  0.000  0.000

***

VASP calculation (PBE) on an optimized crystal structure of MgGaSb2I.

Summary:
The calculation puts the uncorrected formation energy at 31 kJ/mol of atoms. Its mass density is 4.44 g/cm³. The calculation puts the polymorph energy (0 for the lowest one) at 0.0 meV/atom. Its magnetic moment is 0.00 Bohr magnetons per cell. The space group is P4/mmm. The value obtained for the uncorrected energy is -2.56 eV/atom.

Cell: 5.415 5.415 5.929 Å, 90.00 90.00 90.00°
Element x y z (fractional)
I  0.000  0.000  0.500
Sb  0.000  0.500  0.000
Sb  0.500  0.000  0.000
Mg  0.000  0.000  0.000
Ga  0.500  0.500  0.500

***

VASP calculation (PBE) on an optimized crystal structure of MgGaTe2I.

Summary:
The calculation puts the uncorrected formation energy at -4 kJ/mol of atoms. Its mass density is 4.46 g/cm³. The calculation puts the polymorph energy (0 for the lowest one) at 0.0 meV/atom. Its magnetic moment is 0.00 Bohr magnetons per cell. The space group is P4/mmm. The value obtained for the uncorrected energy is -2.54 eV/atom.

Cell: 5.496 5.496 5.873 Å, 90.00 90.00 90.00°
Element x y z (fractional)
I  0.000  0.000  0.500
Mg  0.000  0.000  0.000
Te  0.000  0.500  0.000
Te  0.500  0.000  0.000
Ga  0.500  0.500  0.500

***

VASP calculation (PBE) on an optimized crystal structure of MgGaTe2I.

Summary:
The calculation puts the uncorrected formation energy at 11 kJ/mol of atoms. Its mass density is 4.79 g/cm³. The calculation puts the polymorph energy (0 for the lowest one) at 156.4 meV/atom. Its magnetic moment is 0.00 Bohr magnetons per cell. The space group is P4/mmm. The value obtained for the uncorrected energy is -2.38 eV/atom.

Cell: 5.449 5.449 5.564 Å, 90.00 90.00 90.00°
Element x y z (fractional)
I  0.000  0.000  0.500
Mg  0.500  0.500  0.500
Te  0.000  0.500  0.000
Te  0.500  0.000  0.000
Ga  0.000  0.000  0.000

***

VASP calculation (PBE) on an optimized crystal structure of Y2MgGaI.

Summary:
The calculation puts the uncorrected formation energy at 23 kJ/mol of atoms. Its mass density is 4.21 g/cm³. Its magnetic moment is 0.00 Bohr magnetons per cell. The space group is P4/mmm. The value obtained for the uncorrected energy is -3.58 eV/atom.

Cell: 5.754 4.745 5.754 Å, 90.00 90.00 90.00°
Element x y z (fractional)
I  0.500  0.500  0.500
Y  0.000  0.000  0.500
Y  0.500  0.000  0.000
Mg  0.000  0.000  0.000
Ga  0.000  0.500  0.000

***

VASP calculation (PBE) on an optimized crystal structure of Mg2ZnGaI.

Summary:
The calculation puts the uncorrected formation energy at 24 kJ/mol of atoms. Its mass density is 3.20 g/cm³. Its magnetic moment is 0.00 Bohr magnetons per cell. The space group is P4/mmm. The value obtained for the uncorrected energy is -1.56 eV/atom.

Cell: 5.056 6.297 5.056 Å, 90.00 90.00 90.00°
Element x y z (fractional)
I  0.000  0.500  0.000
Zn  0.000  0.000  0.000
Mg  0.000  0.000  0.500
Mg  0.500  0.000  0.000
Ga  0.500  0.500  0.500

***

VASP calculation (PBE) on an optimized crystal structure of Mn2GaI.

Summary:
The calculation puts the uncorrected formation energy at 52 kJ/mol of atoms. Its mass density is 5.86 g/cm³. The calculation puts the polymorph energy (0 for the lowest one) at 0.0 meV/atom. Its magnetic moment is 16.57 Bohr magnetons per cell. The space group is I-42d. The value obtained for the uncorrected energy is -5.19 eV/atom.

Cell: 7.444 7.444 6.126 Å, 52.59 52.59 90.00°
Element x y z (fractional)
I  0.000  0.000  0.000
I  0.750  0.250  0.500
Mn  0.600  0.125  0.250
Mn  0.150  0.625  0.250
Mn  0.375  0.400  0.750
Mn  0.875  0.850  0.750
Ga  0.500  0.500  0.000
Ga  0.250  0.750  0.500

***

VASP calculation (PBE) on an optimized crystal structure of MnGa6I12.

Summary:
The calculation puts the uncorrected formation energy at -25 kJ/mol of atoms. Its mass density is 4.41 g/cm³. Its magnetic moment is 3.84 Bohr magnetons per cell. The space group is R-3. The value obtained for the uncorrected energy is -2.68 eV/atom.

Cell: 9.642 9.642 9.642 Å, 68.79 68.79 68.79°
Element x y z (fractional)
Mn  0.000  0.000  0.000
Ga  0.118  0.302  0.445
Ga  0.698  0.555  0.882
Ga  0.555  0.882  0.698
Ga  0.882  0.698  0.555
Ga  0.302  0.445  0.118
Ga  0.445  0.118  0.302
I  0.585  0.167  0.481
I  0.167  0.481  0.585
I  0.481  0.585  0.167
I  0.415  0.833  0.519
I  0.833  0.519  0.415
I  0.519  0.415  0.833
I  0.984  0.084  0.690
I  0.310  0.016  0.916
I  0.916  0.310  0.016
I  0.016  0.916  0.310
I  0.690  0.984  0.084
I  0.084  0.690  0.984

***

VASP calculation (PBE) on an optimized crystal structure of Mn5Ga3I12.

Summary:
The calculation puts the uncorrected formation energy at -29 kJ/mol of atoms. Its mass density is 4.51 g/cm³. Its magnetic moment is 96.00 Bohr magnetons per cell. The space group is Ia-3d. The value obtained for the uncorrected energy is -3.97 eV/atom.

Cell: 15.660 15.660 15.660 Å, 109.47 109.47 109.47°
Element x y z (fractional)
Ga  0.750  0.375  0.125
Ga  0.875  0.750  0.125
Ga  0.375  0.750  0.625
Ga  0.250  0.125  0.375
Ga  0.875  0.125  0.250
Ga  0.375  0.625  0.250
Ga  0.625  0.375  0.750
Ga  0.125  0.875  0.750
Ga  0.750  0.875  0.625
Ga  0.625  0.250  0.375
Ga  0.125  0.250  0.875
Ga  0.250  0.625  0.875
Mn  0.125  0.375  0.250
Mn  0.000  0.500  0.000
Mn  0.000  0.000  0.000
Mn  0.375  0.250  0.125
Mn  0.500  0.000  0.500
Mn  0.500  0.500  0.000
Mn  0.125  0.750  0.375
Mn  0.750  0.125  0.875
Mn  0.750  0.625  0.375
Mn  0.375  0.125  0.750
Mn  0.625  0.875  0.250
Mn  0.500  0.500  0.500
Mn  0.500  0.000  0.000
Mn  0.000  0.000  0.500
Mn  0.250  0.375  0.625
Mn  0.250  0.875  0.125
Mn  0.000  0.500  0.500
Mn  0.875  0.250  0.625
Mn  0.625  0.750  0.875
Mn  0.875  0.625  0.750
I  0.705  0.118  0.026
I  0.321  0.526  0.408
I  0.974  0.382  0.295
I  0.526  0.205  0.118
I  0.587  0.705  0.679
I  0.974  0.592  0.179
I  0.321  0.795  0.413
I  0.092  0.913  0.118
I  0.592  0.974  0.679
I  0.705  0.587  0.179
I  0.795  0.474  0.382
I  0.821  0.908  0.026
I  0.118  0.705  0.526
I  0.382  0.408  0.087
I  0.087  0.908  0.382
I  0.413  0.118  0.592
I  0.087  0.179  0.205
I  0.474  0.679  0.092
I  0.821  0.913  0.295
I  0.118  0.413  0.092
I  0.382  0.974  0.795
I  0.592  0.618  0.413
I  0.908  0.821  0.526
I  0.795  0.321  0.913
I  0.408  0.382  0.587
I  0.092  0.179  0.474
I  0.205  0.679  0.087
I  0.179  0.087  0.705
I  0.618  0.026  0.205
I  0.882  0.587  0.908
I  0.526  0.321  0.908
I  0.587  0.882  0.408
I  0.913  0.821  0.795
I  0.913  0.092  0.618
I  0.882  0.295  0.474
I  0.179  0.092  0.974
I  0.618  0.592  0.913
I  0.408  0.026  0.321
I  0.295  0.413  0.821
I  0.205  0.526  0.618
I  0.908  0.087  0.882
I  0.679  0.205  0.587
I  0.474  0.795  0.882
I  0.026  0.408  0.821
I  0.413  0.295  0.321
I  0.026  0.618  0.705
I  0.679  0.474  0.592
I  0.295  0.882  0.974

***

VASP calculation (PBE) on an optimized crystal structure of MnGaI6.

Summary:
The calculation puts the uncorrected formation energy at -25 kJ/mol of atoms. Its mass density is 4.66 g/cm³. Its magnetic moment is 3.84 Bohr magnetons per cell. The space group is C2/m. The value obtained for the uncorrected energy is -2.95 eV/atom.

Cell: 8.116 7.201 7.473 Å, 100.08 105.71 124.40°
Element x y z (fractional)
Mn  0.000  0.000  0.000
Ga  0.500  0.000  0.000
I  0.920  0.147  0.290
I  0.630  0.857  0.710
I  0.370  0.143  0.290
I  0.080  0.853  0.710
I  0.273  0.544  0.000
I  0.727  0.456  0.000